[1]
{"formula": "TmGaPd6", "functional": "PBE", "state": "relaxed", "cell": [[4.0360, 0.0000, 0.0000], [0.0000, 4.0360, 0.0000], [0.0000, 0.0000, 7.9191]], "species": ["Tm", "Ga", "Pd", "Pd", "Pd", "Pd", "Pd", "Pd"], "frac_coords": [[0.0000, 0.0000, 0.0000], [0.0000, 0.0000, 0.5000], [0.5000, 0.5000, 0.0000], [0.5000, 0.5000, 0.5000], [0.5000, 0.0000, 0.2637], [0.5000, 0.0000, 0.7363], [0.0000, 0.5000, 0.2637], [0.0000, 0.5000, 0.7363]], "spacegroup": "P4/mmm", "e_tot_ev_per_cell": -44.16, "n_ef_per_ev_atom": 0.944, "relative_energy_mev_per_atom": 0}

[2]
{"formula": "IrPd2RhAu", "functional": "PBE", "state": "relaxed", "cell": [[4.7340, 0.0000, 0.0000], [0.0000, 4.9966, 0.0000], [0.0000, 0.0000, 4.7340]], "species": ["Rh", "Ir", "Au", "Pd", "Pd"], "frac_coords": [[0.5000, 0.5000, 0.5000], [0.0000, 0.0000, 0.0000], [0.0000, 0.5000, 0.0000], [0.0000, 0.0000, 0.5000], [0.5000, 0.0000, 0.0000]], "spacegroup": "P4/mmm", "e_tot_ev_per_cell": -22.26, "n_ef_per_ev_atom": 2.193}

[3]
{"formula": "BaThCdAs3", "functional": "PBE", "state": "relaxed", "cell": [[-1.3543, 4.1659, -0.4447], [-4.2946, -0.5667, 7.7696], [8.9236, 3.1510, 2.3415]], "species": ["Ba", "Ba", "Th", "Th", "Cd", "Cd", "As", "As", "As", "As", "As", "As"], "frac_coords": [[0.2500, 0.2090, 0.2406], [0.7500, 0.7910, 0.7594], [0.2500, 0.6842, 0.1472], [0.7500, 0.3158, 0.8528], [0.2500, 0.0892, 0.5975], [0.7500, 0.9108, 0.4025], [0.7500, 0.9054, 0.1254], [0.2500, 0.0946, 0.8746], [0.2500, 0.7579, 0.4702], [0.7500, 0.2421, 0.5298], [0.7500, 0.4634, 0.1621], [0.2500, 0.5366, 0.8379]], "spacegroup": "P2_1/m", "e_tot_ev_per_cell": -58.19, "n_ef_per_ev_atom": 1.011}

[4]
{"formula": "Sc2Cd", "functional": "PBE", "state": "relaxed", "cell": [[4.5288, 0.0000, 0.0000], [0.0000, 4.5288, 0.0000], [-2.2644, -2.2644, 13.2913]], "species": ["Cd", "Cd", "Cd", "Cd", "Sc", "Sc", "Sc", "Sc", "Sc", "Sc", "Sc", "Sc"], "frac_coords": [[0.0828, 0.0828, 0.1656], [0.9172, 0.9172, 0.8344], [0.3328, 0.8328, 0.6656], [0.1672, 0.6672, 0.3344], [0.2515, 0.2515, 0.5029], [0.7485, 0.7485, 0.4971], [0.5015, 0.0015, 0.0029], [0.9985, 0.4985, 0.9971], [0.4155, 0.4155, 0.8310], [0.5845, 0.5845, 0.1690], [0.6655, 0.1655, 0.3310], [0.8345, 0.3345, 0.6690]], "spacegroup": "I4_1/amd", "e_tot_ev_per_cell": -56.06, "n_ef_per_ev_atom": 1.243}